# YTm3 GGA-PBEsol optimized geometry
# Energy relative to the elements: 4 meV per atom
# Magnetization: 0.00 μB/f.u.
data_YTm3
_chemical_formula_sum 'Y2 Tm6'
_cell_length_a 7.0416
_cell_length_b 7.0416
_cell_length_c 5.4646
_cell_angle_alpha 90.00
_cell_angle_beta 90.00
_cell_angle_gamma 120.00
_symmetry_space_group_name_H-M 'P 63/m m c'
_symmetry_Int_Tables_number 194
_symmetry_space_group_name_Hall '-P 6c 2c'
loop_
_atom_site_label
_atom_site_fract_x
_atom_site_fract_y
_atom_site_fract_z
Y1 0.3333 0.6667 0.2500
Tm1 0.1656 0.3313 0.7500